(1)
BePtCl2: optimized geometry, PBE.

Cell: 3.469 3.469 12.249 Å, 90.00 90.00 90.00°
Sites, in units of the cell vectors:
Be 0.000 0.000 0.000
Be 0.500 0.500 0.500
Pt 0.000 0.500 0.250
Pt 0.500 0.000 0.750
Cl 0.000 0.000 0.500
Cl 0.000 0.500 0.750
Cl 0.500 0.000 0.250
Cl 0.500 0.500 0.000

Calculated values
For the final energy, the calculation gives -11.9 eV/f.u. As for the energy relative to the elements, uncorrected: 1.58 eV per formula unit. The offset from the most stable computed form comes out at 19.122 kcal/mol of atoms.



(2)
NaTlGe: optimized geometry, PBE.

Cell: 7.403 3.938 10.734 Å, 90.00 90.00 90.00°
Sites, in units of the cell vectors:
Na 0.129 0.250 0.235
Na 0.371 0.750 0.735
Na 0.629 0.250 0.265
Na 0.871 0.750 0.765
Tl 0.151 0.250 0.922
Tl 0.349 0.750 0.422
Tl 0.651 0.250 0.578
Tl 0.849 0.750 0.078
Ge 0.082 0.250 0.558
Ge 0.418 0.750 0.058
Ge 0.582 0.250 0.942
Ge 0.918 0.750 0.442

Calculated values
For the final energy, the calculation gives -8.4 eV/f.u. The calculation puts the formation energy from the elements at -0.027 eV/atom.